VASP calculation (PBE) on a geometry-optimized Zr3TlC structure.

Output
The value obtained for the calculated formation energy is -0.4408 eV/atom. The symmetry is No. 194. The value obtained for the total energy is -7.89 eV/atom.

Geometry as POSCAR:
```
Zr3TlC
1.0
6.416 0.000 0.000
-3.208 5.556 0.000
0.000 0.000 5.438
Zr Tl C
6 2 2
Direct
0.164 0.328 0.250
0.164 0.836 0.250
0.328 0.164 0.750
0.672 0.836 0.250
0.836 0.164 0.750
0.836 0.672 0.750
0.333 0.667 0.750
0.667 0.333 0.250
0.000 0.000 0.000
0.000 0.000 0.500
```


VASP calculation (PBE) on a geometry-optimized Zr3TlC structure.

Output
The value obtained for the calculated formation energy is 0.1816 eV/atom. The symmetry is No. 63. The value obtained for the total energy is -7.27 eV/atom.

Geometry as POSCAR:
```
Zr3TlC
1.0
3.394 -5.166 0.000
3.394 5.166 0.000
0.000 0.000 6.452
Zr Tl C
6 2 2
Direct
0.000 0.000 0.000
0.000 0.000 0.500
0.011 0.490 0.250
0.490 0.011 0.750
0.510 0.989 0.250
0.989 0.510 0.750
0.490 0.510 0.750
0.510 0.490 0.250
0.144 0.856 0.250
0.856 0.144 0.750
```


> What is the formula in the first record?

Zr3TlC